(1)
A plane-wave DFT calculation with GGA-PBE was carried out for a relaxed Tb2USe5 crystal.

```
Tb2USe5
1.0
0.000 4.758 7.692
2.802 0.000 7.692
2.802 4.758 0.000
Tb U Se
2 1 5
direct
0.181 0.181 0.819
0.819 0.819 0.181
0.500 0.500 0.500
0.000 0.000 0.000
0.181 0.510 0.490
0.490 0.819 0.181
0.510 0.181 0.819
0.819 0.490 0.510
```

Values from the calculation:
Uncorrected energy, eV per cell: -48.6
Crystal system: orthorhombic
DOS at the Fermi energy, states/eV per cell: 4.56

***

(2)
A plane-wave DFT calculation with GGA-PBE was carried out for a relaxed Tb2U3Se8 crystal.

```
Tb2U3Se8
1.0
7.338 -4.065 0.000
7.338 4.065 0.000
-2.170 0.000 6.530
Tb U Se
2 3 8
direct
0.244 0.244 0.166
0.756 0.756 0.834
0.243 0.757 0.500
0.500 0.500 0.000
0.757 0.243 0.500
0.116 0.116 0.404
0.134 0.616 0.085
0.380 0.380 0.580
0.384 0.866 0.915
0.616 0.134 0.085
0.620 0.620 0.420
0.866 0.384 0.915
0.884 0.884 0.596
```

Values from the calculation:
Uncorrected energy, eV per cell: -88.5
Crystal system: monoclinic
DOS at the Fermi energy, states/eV per cell: 14.99

***

(3)
A plane-wave DFT calculation with GGA-PBE was carried out for a relaxed TbUSe3 crystal.

```
TbUSe3
1.0
4.116 0.000 0.000
-2.058 3.565 0.000
0.000 0.000 20.577
Tb U Se
2 2 6
direct
0.333 0.667 0.000
0.667 0.333 0.500
0.000 0.000 0.178
0.000 0.000 0.678
0.000 0.000 0.431
0.000 0.000 0.931
0.333 0.667 0.252
0.333 0.667 0.591
0.667 0.333 0.091
0.667 0.333 0.752
```

Values from the calculation:
Uncorrected energy, eV per cell: -67.0
Crystal system: hexagonal
DOS at the Fermi energy, states/eV per cell: 7.13